w.
{
  "formula": "AlInHg2",
  "functional": "PBE-GGA",
  "state": "relaxed",
  "lattice": [[-1.866, 4.326, -0.031], [-4.381, 1.727, 0.147], [-0.829, 1.218, 6.056]],
  "species": ["Al", "Hg", "Hg", "In"],
  "fractional_positions": [[0.250, 0.250, 0.250], [0.992, 0.992, 0.028], [0.508, 0.508, 0.472], [0.750, 0.750, 0.750]],
  "sg": "C2/m"
}

***

x.
{
  "formula": "AlInHg2",
  "functional": "PBE-GGA",
  "state": "relaxed",
  "lattice": [[3.354, 0.000, 0.000], [0.000, 5.826, 0.000], [0.000, 0.000, 4.995]],
  "species": ["Al", "Hg", "Hg", "In"],
  "fractional_positions": [[0.000, 0.500, 0.500], [0.000, 0.000, 0.000], [0.500, 0.500, 0.000], [0.500, 0.000, 0.500]],
  "sg": "Pmmm"
}

***

Which structure wins on stability? w wins.

***

w.
{
  "formula": "Al2In2Hg",
  "functional": "PBE-GGA",
  "state": "relaxed",
  "lattice": [[-3.470, 5.996, 1.279], [-3.748, -0.911, -5.896], [-3.239, -2.392, 2.429]],
  "species": ["Al", "Al", "Al", "Al", "Hg", "Hg", "In", "In", "In", "In"],
  "fractional_positions": [[0.366, 0.866, 0.000], [0.866, 0.634, 0.000], [0.634, 0.134, 0.000], [0.134, 0.366, 0.000], [0.000, 0.000, 0.000], [0.500, 0.500, 0.000], [0.172, 0.672, 0.500], [0.672, 0.828, 0.500], [0.828, 0.328, 0.500], [0.328, 0.172, 0.500]],
  "sg": "P4/mbm"
}

***

x.
{
  "formula": "Al2In2Hg",
  "functional": "PBE-GGA",
  "state": "relaxed",
  "lattice": [[4.442, 0.000, 0.000], [0.000, 4.442, 0.000], [2.221, 2.221, 6.274]],
  "species": ["Al", "Al", "Hg", "In", "In"],
  "fractional_positions": [[0.398, 0.398, 0.204], [0.602, 0.602, 0.796], [0.000, 0.000, 0.000], [0.750, 0.250, 0.500], [0.250, 0.750, 0.500]],
  "sg": "I4/mmm"
}

***

Which structure wins on stability? w wins.

***

w.
{
  "formula": "Al2In2Hg",
  "functional": "PBE-GGA",
  "state": "relaxed",
  "lattice": [[3.938, 0.000, 0.000], [0.000, 3.938, 0.000], [1.969, 1.969, 7.838]],
  "species": ["Al", "Al", "Hg", "In", "In"],
  "fractional_positions": [[0.750, 0.250, 0.500], [0.250, 0.750, 0.500], [0.000, 0.000, 0.000], [0.396, 0.396, 0.209], [0.604, 0.604, 0.791]],
  "sg": "I4/mmm"
}

***

x.
{
  "formula": "Al2In2Hg",
  "functional": "PBE-GGA",
  "state": "relaxed",
  "lattice": [[-3.691, -7.018, 2.703], [5.998, -4.564, -3.658], [1.855, 0.132, 2.876]],
  "species": ["Al", "Al", "Al", "Al", "Hg", "Hg", "In", "In", "In", "In"],
  "fractional_positions": [[0.116, 0.616, 0.500], [0.616, 0.884, 0.500], [0.884, 0.384, 0.500], [0.384, 0.116, 0.500], [0.000, 0.000, 0.000], [0.500, 0.500, 0.000], [0.320, 0.820, 0.000], [0.820, 0.680, 0.000], [0.680, 0.180, 0.000], [0.180, 0.320, 0.000]],
  "sg": "P4/mbm"
}

***

Which structure wins on stability? w wins.

***

w.
{
  "formula": "AlIn2Hg",
  "functional": "PBE-GGA",
  "state": "relaxed",
  "lattice": [[2.576, -4.386, 0.962], [-2.511, -4.526, 0.017], [0.801, -3.419, -3.803]],
  "species": ["Al", "Hg", "In", "In"],
  "fractional_positions": [[0.000, 0.000, 0.000], [0.500, 0.500, 0.500], [0.250, 0.250, 0.250], [0.750, 0.750, 0.750]],
  "sg": "Fm-3m"
}

***

x.
{
  "formula": "AlIn2Hg",
  "functional": "PBE-GGA",
  "state": "relaxed",
  "lattice": [[5.474, -0.209, 0.000], [1.612, 5.235, 0.000], [-3.543, -2.513, 3.337]],
  "species": ["Al", "Hg", "In", "In"],
  "fractional_positions": [[0.500, 0.500, 0.000], [0.750, 0.250, 0.500], [0.000, 0.000, 0.000], [0.250, 0.750, 0.500]],
  "sg": "I-4m2"
}

***

y.
{
  "formula": "AlIn2Hg",
  "functional": "PBE-GGA",
  "state": "relaxed",
  "lattice": [[5.802, -0.067, 0.094], [4.888, 3.125, 0.094], [1.688, 0.483, 5.261]],
  "species": ["Al", "Hg", "In", "In"],
  "fractional_positions": [[0.516, 0.516, 0.547], [0.222, 0.222, 0.230], [0.988, 0.988, 0.032], [0.775, 0.775, 0.691]],
  "sg": "Cm"
}

***

z.
{
  "formula": "AlIn2Hg",
  "functional": "PBE-GGA",
  "state": "relaxed",
  "lattice": [[10.949, 0.103, 0.061], [10.441, 3.300, 0.061], [10.441, 1.661, 2.852]],
  "species": ["Al", "Hg", "In", "In"],
  "fractional_positions": [[0.250, 0.250, 0.250], [0.750, 0.750, 0.750], [0.993, 0.993, 0.993], [0.507, 0.507, 0.507]],
  "sg": "R-3m"
}

***

Which structure wins on stability? z wins.

***

w.
{
  "formula": "AlIn2Hg",
  "functional": "PBE-GGA",
  "state": "relaxed",
  "lattice": [[3.398, 0.000, 0.000], [0.000, 4.374, 0.000], [0.000, 0.000, 6.506]],
  "species": ["Al", "Hg", "In", "In"],
  "fractional_positions": [[0.000, 0.000, 0.509], [0.500, 0.500, 0.734], [0.000, 0.000, 0.993], [0.500, 0.500, 0.264]],
  "sg": "Pmm2"
}

***

x.
{
  "formula": "AlIn2Hg",
  "functional": "PBE-GGA",
  "state": "relaxed",
  "lattice": [[3.252, 0.272, 0.000], [-0.839, 3.154, 0.000], [0.000, 0.000, 9.196]],
  "species": ["Al", "Hg", "In", "In"],
  "fractional_positions": [[0.000, 0.000, 0.512], [0.500, 0.500, 0.725], [0.000, 0.000, 0.991], [0.500, 0.500, 0.272]],
  "sg": "Cmm2"
}

***

y.
{
  "formula": "AlIn2Hg",
  "functional": "PBE-GGA",
  "state": "relaxed",
  "lattice": [[4.268, 0.000, 0.000], [0.000, 4.268, 0.000], [2.134, 2.134, 11.009]],
  "species": ["Al", "Al", "Hg", "Hg", "In", "In", "In", "In"],
  "fractional_positions": [[0.500, 0.500, 0.000], [0.250, 0.750, 0.500], [0.000, 0.000, 0.000], [0.750, 0.250, 0.500], [0.622, 0.125, 0.250], [0.128, 0.625, 0.250], [0.375, 0.378, 0.750], [0.875, 0.872, 0.750]],
  "sg": "I-42d"
}

***

Which structure wins on stability? x wins.

***

w.
{
  "formula": "AlIn2Hg",
  "functional": "PBE-GGA",
  "state": "relaxed",
  "lattice": [[-3.622, 0.709, -2.938], [0.041, -1.930, -4.304], [-3.674, -4.876, -0.434]],
  "species": ["Al", "In", "In", "Hg"],
  "fractional_positions": [[0.671, 0.671, 0.986], [0.066, 0.066, 0.801], [0.267, 0.267, 0.200], [0.496, 0.496, 0.513]],
  "sg": "R3m"
}

***

x.
{
  "formula": "AlIn2Hg",
  "functional": "PBE-GGA",
  "state": "relaxed",
  "lattice": [[6.440, 0.239, 0.009], [3.293, 5.540, -0.009], [-4.233, -3.955, 2.822]],
  "species": ["Al", "Hg", "In", "In"],
  "fractional_positions": [[0.492, 0.492, 0.000], [0.284, 0.784, 0.500], [0.008, 0.008, 0.000], [0.717, 0.217, 0.500]],
  "sg": "Imm2"
}

***

Which structure wins on stability? x wins.